# 1
First-principles (PBE) data for an optimized crystal structure of Cs3Ba2UO6, as listed in the Alexandria database.

D(E_F): 2.03 states/eV per cell
spin magnetization: 1.0 μB per cell
calculated total energy: -6.332 eV/atom
space group: C2/m, No. 12

a = 6.7341 Å, b = 6.7341 Å, c = 7.2384 Å
α = 98.78°, β = 98.78°, γ = 119.99°
Closest atoms and distances in Å follow each position.
Positions (direct):
O  0.7865  0.7865  0.1792  1 U 2.21
O  0.0584  0.3298  0.1741  1 U 2.19
O  0.2135  0.2135  0.8208  1 U 2.21
O  0.9416  0.6702  0.8259  1 U 2.19
O  0.3298  0.0584  0.1741  1 U 2.19
O  0.6702  0.9416  0.8259  1 U 2.19
Ba  0.6668  0.3332  0.0000  6 O 2.75-2.77
Ba  0.3332  0.6668  0.0000  6 O 2.75-2.77
Cs  0.1645  0.8355  0.5000  4 O 3.02-3.04
Cs  0.5000  0.5000  0.5000  4 O 3.06
Cs  0.8355  0.1645  0.5000  4 O 3.02-3.04
U  0.0000  0.0000  0.0000  6 O 2.19-2.21

***

# 2
First-principles (PBE) data for an optimized crystal structure of Cs2BaUO5, as listed in the Alexandria database.

D(E_F): 0.00 states/eV per cell
spin magnetization: 0.0 μB per cell
calculated total energy: -7.001 eV/atom
space group: Immm, No. 71

a = 4.3357 Å, b = 6.2657 Å, c = 8.1253 Å
α = 112.68°, β = 105.47°, γ = 90.00°
Closest atoms and distances in Å follow each position.
Positions (direct):
O  0.4011  0.6625  0.8023  1 U 2.06
O  0.0000  0.0000  0.0000  2 U 2.17
O  0.5989  0.8603  0.1977  1 U 2.06
O  0.4011  0.1397  0.8023  1 U 2.06
O  0.5989  0.3375  0.1977  1 U 2.06
U  0.5000  0.0000  0.0000  6 O 2.06-2.17
Cs  0.7795  0.7795  0.5590  7 O 3.07-3.17
Cs  0.2205  0.2205  0.4410  7 O 3.07-3.17
Ba  0.0000  0.5000  0.0000  10 O 3.07-3.13

***

Q: Which of these has the lowest calculated total energy?
A: Cs2BaUO5